A geometry-optimized Dy2InSnPt4 structure, computed with PBE-GGA.

Lattice parameters (Å, degrees): 4.8196 4.8196 6.7814 90.00 90.00 90.00
Positions (direct):
Dy  0.0000  0.0000  0.0000
Dy  0.5000  0.5000  0.5000
In  0.0000  0.0000  0.5000
Sn  0.5000  0.5000  0.0000
Pt  0.0000  0.5000  0.2478
Pt  0.0000  0.5000  0.7522
Pt  0.5000  0.0000  0.2478
Pt  0.5000  0.0000  0.7522

Computed properties:
relative energy among the computed polymorphs: 76 meV per atom
energy: -5.93 eV/atom
mass density: 14.1 g/cm3